Record 1
Entry from Alexandria via LeMat-Bulk: an optimized crystal structure of Co2Cu2B (PBE).

abc: 5.1410 5.1410 4.0762
angles: 90.00 90.00 90.00
Fractional coordinates of all 10 atoms:
Co 0.1533 0.3467 0.0000
Co 0.3467 0.8467 0.0000
Co 0.6533 0.1533 0.0000
Co 0.8467 0.6533 0.0000
Cu 0.1681 0.6681 0.5000
Cu 0.3319 0.1681 0.5000
Cu 0.6681 0.8319 0.5000
Cu 0.8319 0.3319 0.5000
B 0.0000 0.0000 0.0000
B 0.5000 0.5000 0.0000

Results
Energy   -5.690 eV per atom
Volume   108 Å³ per cell
Magnetization   0.300 μB/atom



Record 2
Entry from Alexandria via LeMat-Bulk: an optimized crystal structure of CoCu3B (PBE).

abc: 3.8879 3.8879 3.8879
angles: 90.00 90.00 90.00
Fractional coordinates of all 5 atoms:
Co 0.0000 0.0000 0.0000
Cu 0.0000 0.5000 0.5000
Cu 0.5000 0.0000 0.5000
Cu 0.5000 0.5000 0.0000
B 0.5000 0.5000 0.5000

Results
Energy   -4.758 eV per atom
Volume   59 Å³ per cell
Magnetization   0.341 μB/atom



Record 3
Entry from Alexandria via LeMat-Bulk: an optimized crystal structure of CoCuB3 (PBE).

abc: 3.7347 3.7347 3.7347
angles: 90.00 90.00 90.00
Fractional coordinates of all 5 atoms:
Co 0.0000 0.0000 0.0000
Cu 0.5000 0.5000 0.5000
B 0.0000 0.5000 0.5000
B 0.5000 0.0000 0.5000
B 0.5000 0.5000 0.0000

Results
Energy   -4.579 eV per atom
Volume   52 Å³ per cell
Magnetization   0.170 μB/atom



Record 4
Entry from Alexandria via LeMat-Bulk: an optimized crystal structure of CoCuB3 (PBE).

abc: 3.7302 3.7302 3.7302
angles: 90.00 90.00 90.00
Fractional coordinates of all 5 atoms:
Co 0.0000 0.0000 0.0000
Cu 0.5000 0.5000 0.5000
B 0.0000 0.0000 0.5000
B 0.0000 0.5000 0.0000
B 0.5000 0.0000 0.0000

Results
Energy   -5.340 eV per atom
Volume   52 Å³ per cell
Magnetization   0.000 μB/atom